Computed, not measured: crystalline YEr2ScTe4 at its relaxed geometry at the PBE level of DFT. Values from VASP.

The structure in Quantum ESPRESSO input format:
```
&SYSTEM
  ibrav = 0, nat = 8, ntyp = 4
/
ATOMIC_SPECIES
Y 88.91 Y.upf
Er 167.26 Er.upf
Sc 44.96 Sc.upf
Te 127.60 Te.upf
ATOMIC_POSITIONS crystal
Y 0.0000 0.0000 0.0000
Er 0.5000 0.0000 0.5000
Er 0.5000 0.5000 0.0000
Sc 0.0000 0.5000 0.5000
Te 0.2440 0.0000 0.7415
Te 0.2489 0.5000 0.2562
Te 0.7511 0.5000 0.7438
Te 0.7560 0.0000 0.2585
CELL_PARAMETERS angstrom
7.4504 0.0000 0.0000
0.0000 4.2603 0.0000
-2.4361 0.0000 7.0738
```

Computed properties:
Symmetry: No. 10
Total energy (Ha/atom): -0.2026